# Zr4InHg

Zr4InHg after structural relaxation (PBE, the Alexandria database).

Spin magnetization: 0.0000 μB/atom
Total DFT energy (no corrections): -6.0164 eV/atom
Energy of formation from the pure elements: 109 kJ/mol of formula units

abc: 8.2035 8.2035 8.2035
angles: 90.00 90.00 90.00
Space group F-43m (No. 216)
Inequivalent atoms, fractional coordinates:
Zr 0.1243 0.1243 0.3757 x16
In 0.2500 0.2500 0.7500 x4
Hg 0.0000 0.0000 0.0000 x4


# Zr2In2Hg

Zr2In2Hg after structural relaxation (PBE, the Alexandria database).

Spin magnetization: 0.0000 μB/atom
Total DFT energy (no corrections): -4.6469 eV/atom
Energy of formation from the pure elements: -35 kJ/mol of formula units

abc: 7.3791 7.3791 4.2114
angles: 90.00 90.00 90.00
Space group P4/mbm (No. 127)
Inequivalent atoms, fractional coordinates:
Zr 0.1706 0.3294 0.0000 x4
In 0.1328 0.6328 0.5000 x4
Hg 0.0000 0.0000 0.5000 x2


# Zr7In3Hg

Zr7In3Hg after structural relaxation (PBE, the Alexandria database).

Spin magnetization: 0.0000 μB/atom
Total DFT energy (no corrections): -6.2380 eV/atom
Energy of formation from the pure elements: -25 kJ/mol of formula units

abc: 3.1178 24.0740 13.6991
angles: 90.00 90.00 90.00
Space group Cmcm (No. 63)
Inequivalent atoms, fractional coordinates:
Zr 0.0000 0.0423 0.0819 x8
Zr 0.0000 0.0866 0.6264 x8
Zr 0.0000 0.1423 0.2500 x4
Zr 0.0000 0.2310 0.5927 x8
In 0.0000 0.3293 0.2500 x4
In 0.0000 0.3509 0.5464 x8
Hg 0.0000 0.4977 0.7500 x4


# Zr5InHg2

Zr5InHg2 after structural relaxation (PBE, the Alexandria database).

Spin magnetization: 0.0000 μB/atom
Total DFT energy (no corrections): -5.8502 eV/atom
Energy of formation from the pure elements: -69 kJ/mol of formula units

abc: 7.5099 7.5099 12.9884
angles: 90.00 90.00 90.00
Space group I4/mcm (No. 140)
Inequivalent atoms, fractional coordinates:
Zr 0.0000 0.0000 0.0000 x4
Zr 0.1535 0.3465 0.1603 x16
In 0.0000 0.0000 0.2500 x4
Hg 0.1400 0.3600 0.5000 x8


Question: What is the formula in the first record?
Answer: Zr4InHg


Question: Which of these has the highest total DFT energy (no corrections)?
Answer: Zr2In2Hg


Question: Look up the total DFT energy (no corrections) of the first one.
Answer: -6.0164 eV/atom


Question: Which formula does entry 2 have?
Answer: Zr2In2Hg